# ZrScRu2

A relaxed ZrScRu2 crystal (GGA-PBE, the Alexandria database).

The structure in POSCAR format:
```
ZrScRu2
1.0
3.100 0.000 0.000
0.000 4.307 0.000
0.000 0.000 5.337
Zr Sc Ru
1 1 2
Direct
0.000 0.000 0.000 Zr
0.500 0.500 0.660 Sc
0.000 0.000 0.500 Ru
0.500 0.500 0.173 Ru
```

Properties
Calculated density   7.882 g/cm³
Space-group type   Pmm2 (25)
M_tot   0.0 μB/f.u.
Formation energy from the elements   -0.216 eV per atom


# GaW

A relaxed GaW crystal (GGA-PBE, the Alexandria database).

The structure in POSCAR format:
```
GaW
1.0
3.243 0.000 0.000
0.000 5.097 3.172
0.000 -5.097 3.172
Ga W
3 3
Direct
0.000 0.000 0.000 Ga
0.500 0.563 0.826 Ga
0.500 0.826 0.563 Ga
0.000 0.164 0.567 W
0.000 0.567 0.164 W
0.500 0.343 0.343 W
```

Properties
Calculated density   12.046 g/cm³
Space-group type   Amm2 (38)
M_tot   0.0 μB/f.u.
Energy relative to the lowest polymorph listed for this composition   0.355 eV/atom
Formation energy from the elements   0.504 eV per atom


# Zn2IN

A relaxed Zn2IN crystal (GGA-PBE, the Alexandria database).

The structure in POSCAR format:
```
Zn2IN
1.0
0.000 3.280 3.280
3.280 0.000 3.280
3.280 3.280 0.000
Zn I N
2 1 1
Direct
0.250 0.250 0.250 Zn
0.750 0.750 0.750 Zn
0.000 0.000 0.000 I
0.500 0.500 0.500 N
```

Properties
Calculated density   6.396 g/cm³
Space-group type   Fm-3m (225)
M_tot   0.0 μB/f.u.
E_form (uncorrected)   127.2 kJ/mol of atoms


# TlSiAu

A relaxed TlSiAu crystal (GGA-PBE, the Alexandria database).

The structure in POSCAR format:
```
TlSiAu
1.0
4.413 0.000 0.000
1.951 4.819 0.000
0.146 0.951 6.852
Tl Si Au
2 2 2
Direct
0.154 0.230 0.349 Tl
0.846 0.770 0.651 Tl
0.401 0.714 0.066 Si
0.599 0.286 0.934 Si
0.164 0.149 0.813 Au
0.836 0.851 0.187 Au
```

Properties
Calculated density   9.787 g/cm³
Space-group type   P-1 (2)
M_tot   0.0 μB/f.u.
E_form (uncorrected)   5.4 kJ/mol of atoms


# BePRu2

A relaxed BePRu2 crystal (GGA-PBE, the Alexandria database).

The structure in POSCAR format:
```
BePRu2
1.0
-1.488 1.528 5.533
1.488 -1.528 5.533
1.488 1.528 -5.533
Be P Ru
1 1 2
Direct
0.000 0.000 0.000 Be
0.742 0.242 0.500 P
0.336 0.836 0.500 Ru
0.582 0.582 0.000 Ru
```

Properties
Calculated density   7.989 g/cm³
Space-group type   Imm2 (44)
M_tot   0.0 μB/f.u.
Energy relative to the lowest polymorph listed for this composition   0.130 eV/atom
Formation energy from the elements   -0.336 eV per atom


# NaYZnSn

A relaxed NaYZnSn crystal (GGA-PBE, the Alexandria database).

The structure in POSCAR format:
```
NaYZnSn
1.0
0.000 3.653 3.653
3.653 0.000 3.653
3.653 3.653 0.000
Na Y Zn Sn
1 1 1 1
Direct
0.000 0.000 0.000 Na
0.500 0.500 0.500 Y
0.250 0.250 0.250 Zn
0.750 0.750 0.750 Sn
```

Properties
Calculated density   5.040 g/cm³
Space-group type   F-43m (216)
M_tot   0.0 μB/f.u.
Formation energy from the elements   -0.312 eV per atom